Entry 1:
ErMgSi2Pd5 | PBE | relaxed

Computed properties:
E_tot = -49.94 eV for the cell shown
Calculated density = 8.57 g/cm³
Total magnetic moment = 0.00 μB per cell
Space-group type = P4/mmm (123)
Crystal system = tetragonal

Unit cell a=4.1227 b=4.1227 c=8.8928 alpha=90.00 beta=90.00 gamma=90.00
Closest atoms and distances in Å follow each position.
Atoms (fractional coordinates):
Er1 0.0000 0.0000 0.0000  12 Pd 2.92-2.95
Mg1 0.0000 0.0000 0.5000  8 Pd 3.12, 8 Si 3.13
Si1 0.5000 0.5000 0.3719  1 Si 2.28, 4 Pd 2.39
Si2 0.5000 0.5000 0.6281  1 Si 2.28, 4 Pd 2.39
Pd1 0.0000 0.5000 0.2370  2 Si 2.39
Pd2 0.0000 0.5000 0.7630  2 Si 2.39
Pd3 0.5000 0.0000 0.2370  2 Si 2.39
Pd4 0.5000 0.0000 0.7630  2 Si 2.39
Pd5 0.5000 0.5000 0.0000  4 Er 2.92, 8 Pd 2.95

=====

Entry 2:
ErMg2SnPd4 | PBE | relaxed

Computed properties:
Calculated density = 8.80 g/cm³
Total magnetic moment = 0.00 μB per cell
Space-group type = R-3m (166)
Crystal system = trigonal
Calculated formation energy = -6.0 eV/f.u.

Unit cell a=8.0010 b=8.0010 c=8.0010 alpha=34.09 beta=34.09 gamma=34.09
Closest atoms and distances in Å follow each position.
Atoms (fractional coordinates):
Er1 0.0000 0.0000 0.0000  8 Pd 2.87-2.89
Mg1 0.2492 0.2492 0.2492  8 Pd 2.75-2.92
Mg2 0.7508 0.7508 0.7508  8 Pd 2.75-2.92
Sn1 0.5000 0.5000 0.5000  8 Pd 2.75-2.85
Pd1 0.1272 0.1272 0.1272  4 Mg 2.75-2.88, 3 Sn 2.85, 1 Er 2.87
Pd2 0.3782 0.3782 0.3782  1 Sn 2.75, 4 Mg 2.85-2.92, 3 Er 2.89
Pd3 0.6218 0.6218 0.6218  1 Sn 2.75, 4 Mg 2.85-2.92, 3 Er 2.89
Pd4 0.8728 0.8728 0.8728  4 Mg 2.75-2.88, 3 Sn 2.85, 1 Er 2.87

=====

Entry 3:
ErMgSn2Pd4 | PBE | relaxed

Computed properties:
Calculated density = 9.70 g/cm³
Total magnetic moment = 0.00 μB per cell
Space-group type = R-3m (166)
Crystal system = trigonal
Calculated formation energy = -6.1 eV/f.u.

Unit cell a=8.2097 b=8.2097 c=8.2097 alpha=33.02 beta=33.02 gamma=33.02
Closest atoms and distances in Å follow each position.
Atoms (fractional coordinates):
Er1 0.0000 0.0000 0.0000  8 Pd 2.93-2.96
Mg1 0.5000 0.5000 0.5000  8 Pd 2.73-2.85
Sn1 0.2486 0.2486 0.2486  8 Pd 2.82-3.12
Sn2 0.7514 0.7514 0.7514  8 Pd 2.82-3.12
Pd1 0.1272 0.1272 0.1272  4 Sn 2.82-2.87, 3 Mg 2.85, 1 Er 2.96
Pd2 0.3826 0.3826 0.3826  1 Mg 2.73, 3 Sn 2.82, 3 Er 2.93
Pd3 0.6174 0.6174 0.6174  1 Mg 2.73, 3 Sn 2.82, 3 Er 2.93
Pd4 0.8728 0.8728 0.8728  4 Sn 2.82-2.87, 3 Mg 2.85, 1 Er 2.96

=====

Entry 4:
TbErMg2Pd4 | PBE | relaxed

Computed properties:
Calculated density = 8.67 g/cm³
Total magnetic moment = 0.00 μB per cell
Space-group type = R-3m (166)
Crystal system = trigonal
Calculated formation energy = -6.5 eV/f.u.

Unit cell a=8.2682 b=8.2682 c=8.2682 alpha=33.48 beta=33.48 gamma=33.48
Closest atoms and distances in Å follow each position.
Atoms (fractional coordinates):
Tb1 0.0000 0.0000 0.0000  8 Pd 2.93-2.94
Er1 0.5000 0.5000 0.5000  8 Pd 2.89-2.91
Mg1 0.2495 0.2495 0.2495  8 Pd 2.90-2.97
Mg2 0.7505 0.7505 0.7505  8 Pd 2.90-2.97
Pd1 0.1255 0.1255 0.1255  4 Mg 2.90-2.92, 3 Er 2.91, 1 Tb 2.94
Pd2 0.3765 0.3765 0.3765  1 Er 2.89, 4 Mg 2.91-2.97, 3 Tb 2.93
Pd3 0.6235 0.6235 0.6235  1 Er 2.89, 4 Mg 2.91-2.97, 3 Tb 2.93
Pd4 0.8745 0.8745 0.8745  4 Mg 2.90-2.92, 3 Er 2.91, 1 Tb 2.94

=====

Entry 5:
ErTmMgPd | PBE | relaxed

Computed properties:
Calculated density = 8.39 g/cm³
Total magnetic moment = 0.00 μB per cell
Space-group type = F-43m (216)
Crystal system = cubic
Calculated formation energy = -1.7 eV/f.u.
Energy relative to the lowest polymorph listed for this composition = 80.2 meV per atom

Unit cell a=5.0749 b=5.0749 c=5.0749 alpha=60.00 beta=60.00 gamma=60.00
Closest atoms and distances in Å follow each position.
Atoms (fractional coordinates):
Er1 0.0000 0.0000 0.0000  4 Mg 3.11, 4 Pd 3.11
Tm1 0.5000 0.5000 0.5000  4 Mg 3.11, 4 Pd 3.11
Mg1 0.7500 0.7500 0.7500  4 Tm 3.11, 4 Er 3.11
Pd1 0.2500 0.2500 0.2500  4 Tm 3.11, 4 Er 3.11

=====

Entry 6:
ErTmMg2Pd4 | PBE | relaxed

Computed properties:
Calculated density = 8.95 g/cm³
Total magnetic moment = 0.00 μB per cell
Space-group type = R-3m (166)
Crystal system = trigonal
Calculated formation energy = -6.7 eV/f.u.

Unit cell a=8.2208 b=8.2208 c=8.2208 alpha=33.46 beta=33.46 gamma=33.46
Closest atoms and distances in Å follow each position.
Atoms (fractional coordinates):
Er1 0.0000 0.0000 0.0000  8 Pd 2.90-2.91
Tm1 0.5000 0.5000 0.5000  8 Pd 2.89-2.90
Mg1 0.2498 0.2498 0.2498  8 Pd 2.89-2.93
Mg2 0.7502 0.7502 0.7502  8 Pd 2.89-2.93
Pd1 0.1249 0.1249 0.1249  4 Mg 2.90-2.91, 3 Tm 2.90, 1 Er 2.90
Pd2 0.3758 0.3758 0.3758  1 Tm 2.89, 4 Mg 2.89-2.93, 3 Er 2.91
Pd3 0.6242 0.6242 0.6242  1 Tm 2.89, 4 Mg 2.89-2.93, 3 Er 2.91
Pd4 0.8751 0.8751 0.8751  4 Mg 2.90-2.91, 3 Tm 2.90, 1 Er 2.90

=====

Entry 7:
ErTmMgPd | PBE | relaxed

Computed properties:
Calculated density = 8.20 g/cm³
Total magnetic moment = 0.00 μB per cell
Space-group type = P4mm (99)
Crystal system = tetragonal
Calculated formation energy = -2.0 eV/f.u.
Energy relative to the lowest polymorph listed for this composition = 0.0 meV per atom

Unit cell a=3.5743 b=3.5743 c=7.3979 alpha=90.00 beta=90.00 gamma=90.00
Closest atoms and distances in Å follow each position.
Atoms (fractional coordinates):
Er1 0.0000 0.0000 0.0000  4 Pd 3.02, 1 Tm 3.26, 4 Mg 3.27
Tm1 0.0000 0.0000 0.4410  4 Pd 3.00, 4 Mg 3.26, 1 Er 3.26
Mg1 0.5000 0.5000 0.7192  4 Tm 3.26, 4 Er 3.27, 4 Mg 3.57
Pd1 0.5000 0.5000 0.2234  4 Tm 3.00, 4 Er 3.02

=====

Entry 8:
YErMgPd | PBE | relaxed

Computed properties:
Calculated density = 6.79 g/cm³
Total magnetic moment = 0.00 μB per cell
Space-group type = F-43m (216)
Crystal system = cubic
Calculated formation energy = -1.6 eV/f.u.

Unit cell a=5.1159 b=5.1159 c=5.1159 alpha=60.00 beta=60.00 gamma=60.00
Closest atoms and distances in Å follow each position.
Atoms (fractional coordinates):
Y1 0.0000 0.0000 0.0000  4 Pd 3.13, 4 Mg 3.13
Er1 0.5000 0.5000 0.5000  4 Pd 3.13, 4 Mg 3.13
Mg1 0.2500 0.2500 0.2500  4 Er 3.13, 4 Y 3.13
Pd1 0.7500 0.7500 0.7500  4 Er 3.13, 4 Y 3.13

=====

Entry 9:
YEr2MgPd4 | PBE | relaxed

Computed properties:
Calculated density = 8.99 g/cm³
Total magnetic moment = 0.00 μB per cell
Space-group type = R-3m (166)
Crystal system = trigonal
Calculated formation energy = -6.9 eV/f.u.

Unit cell a=8.4208 b=8.4208 c=8.4208 alpha=33.42 beta=33.42 gamma=33.42
Closest atoms and distances in Å follow each position.
Atoms (fractional coordinates):
Y1 0.0000 0.0000 0.0000  8 Pd 2.97-2.98
Er1 0.2454 0.2454 0.2454  8 Pd 2.88-3.11
Er2 0.7546 0.7546 0.7546  8 Pd 2.88-3.11
Mg1 0.5000 0.5000 0.5000  8 Pd 2.95-2.97
Pd1 0.1247 0.1247 0.1247  4 Er 2.88-2.93, 3 Mg 2.97, 1 Y 2.97
Pd2 0.3761 0.3761 0.3761  1 Mg 2.95, 3 Y 2.98, 4 Er 3.00-3.11
Pd3 0.6239 0.6239 0.6239  1 Mg 2.95, 3 Y 2.98, 4 Er 3.00-3.11
Pd4 0.8753 0.8753 0.8753  4 Er 2.88-2.93, 3 Mg 2.97, 1 Y 2.97

=====

Entry 10:
YErMg2Pd4 | PBE | relaxed

Computed properties:
Calculated density = 7.93 g/cm³
Total magnetic moment = 0.00 μB per cell
Space-group type = R-3m (166)
Crystal system = trigonal
Calculated formation energy = -6.5 eV/f.u.

Unit cell a=8.2661 b=8.2661 c=8.2661 alpha=33.46 beta=33.46 gamma=33.46
Closest atoms and distances in Å follow each position.
Atoms (fractional coordinates):
Y1 0.0000 0.0000 0.0000  8 Pd 2.93-2.94
Er1 0.5000 0.5000 0.5000  8 Pd 2.88-2.91
Mg1 0.2498 0.2498 0.2498  8 Pd 2.90-2.97
Mg2 0.7502 0.7502 0.7502  8 Pd 2.90-2.97
Pd1 0.1257 0.1257 0.1257  4 Mg 2.90-2.92, 3 Er 2.91, 1 Y 2.94
Pd2 0.3768 0.3768 0.3768  1 Er 2.88, 4 Mg 2.90-2.97, 3 Y 2.93
Pd3 0.6232 0.6232 0.6232  1 Er 2.88, 4 Mg 2.90-2.97, 3 Y 2.93
Pd4 0.8743 0.8743 0.8743  4 Mg 2.90-2.92, 3 Er 2.91, 1 Y 2.94

=====

Entry 11:
ErMg2ZnPd4 | PBE | relaxed

Computed properties:
Calculated density = 8.62 g/cm³
Total magnetic moment = 0.00 μB per cell
Space-group type = R-3m (166)
Crystal system = trigonal
Calculated formation energy = -5.8 eV/f.u.

Unit cell a=7.9923 b=7.9923 c=7.9923 alpha=33.20 beta=33.20 gamma=33.20
Closest atoms and distances in Å follow each position.
Atoms (fractional coordinates):
Er1 0.0000 0.0000 0.0000  8 Pd 2.87-2.88
Mg1 0.2449 0.2449 0.2449  7 Pd 2.68-2.78
Mg2 0.7551 0.7551 0.7551  7 Pd 2.68-2.78
Zn1 0.5000 0.5000 0.5000  8 Pd 2.62-2.79
Pd1 0.1267 0.1267 0.1267  4 Mg 2.68-2.78, 3 Zn 2.79, 1 Er 2.87
Pd2 0.3842 0.3842 0.3842  1 Zn 2.62, 3 Mg 2.77, 3 Er 2.88
Pd3 0.6158 0.6158 0.6158  1 Zn 2.62, 3 Mg 2.77, 3 Er 2.88
Pd4 0.8733 0.8733 0.8733  4 Mg 2.68-2.78, 3 Zn 2.79, 1 Er 2.87

=====

Entry 12:
Er4MgZn2Pd | PBE | relaxed

Computed properties:
Calculated density = 8.49 g/cm³
Total magnetic moment = 0.00 μB per cell
Space-group type = R-3m (166)
Crystal system = trigonal
Calculated formation energy = -3.4 eV/f.u.

Unit cell a=8.7393 b=8.7393 c=8.7393 alpha=33.58 beta=33.58 gamma=33.58
Closest atoms and distances in Å follow each position.
Atoms (fractional coordinates):
Er1 0.1174 0.1174 0.1174  1 Pd 2.90, 4 Zn 2.97-3.03, 3 Mg 3.16
Er2 0.3700 0.3700 0.3700  3 Pd 3.05, 1 Mg 3.21, 4 Zn 3.22-3.24
Er3 0.6300 0.6300 0.6300  3 Pd 3.05, 1 Mg 3.21, 4 Zn 3.22-3.24
Er4 0.8826 0.8826 0.8826  1 Pd 2.90, 4 Zn 2.97-3.03, 3 Mg 3.16
Mg1 0.5000 0.5000 0.5000  8 Er 3.16-3.21, 6 Zn 3.43
Zn1 0.2398 0.2398 0.2398  8 Er 2.97-3.24
Zn2 0.7602 0.7602 0.7602  8 Er 2.97-3.24
Pd1 0.0000 0.0000 0.0000  8 Er 2.90-3.05